1.
First-principles (SCAN) data for HfAgTeRu2 at its PBEsol-relaxed geometry, as listed in Alexandria.

Final energy (eV per atom): -38.939

abc: 4.701 4.701 5.026
angles: 90.00 90.00 90.00
Positions (direct):
Ag1 0.000 0.000 0.500
Te1 0.500 0.500 0.500
Ru1 0.000 0.500 0.000
Ru2 0.500 0.000 0.000
Hf1 0.000 0.000 0.000

2.
First-principles (SCAN) data for ErGa4Cu at its PBEsol-relaxed geometry, as listed in Alexandria.

Energy relative to the elements (eV per formula unit): -2.648
Final energy (eV per atom): -22.262

abc: 4.027 6.560 7.920
angles: 90.00 105.17 90.00
Positions (direct):
Cu1 0.228 0.250 0.455
Er1 0.886 0.250 0.769
Ga1 0.068 0.250 0.141
Ga2 0.680 0.051 0.361
Ga3 0.320 0.551 0.639
Ga4 0.500 0.500 0.000
Ga5 0.500 0.000 0.000
Cu2 0.772 0.750 0.545
Ga6 0.932 0.750 0.859
Er2 0.114 0.750 0.231
Ga7 0.320 0.949 0.639
Ga8 0.680 0.449 0.361

3.
First-principles (SCAN) data for YScAu2 at its PBEsol-relaxed geometry, as listed in Alexandria.

Energy relative to the elements (eV per formula unit): -4.354
Final energy (eV per atom): -46.187

abc: 3.536 4.529 5.591
angles: 90.00 108.43 90.00
Positions (direct):
Au1 0.963 0.000 0.926
Au2 0.790 0.500 0.579
Sc1 0.515 0.500 0.029
Y1 0.233 0.000 0.465

4.
First-principles (SCAN) data for BaAlPt at its PBEsol-relaxed geometry, as listed in Alexandria.

Energy relative to the elements (eV per formula unit): -2.589
Final energy (eV per atom): -40.028

abc: 4.319 4.319 4.915
angles: 90.00 90.00 120.00
Positions (direct):
Al1 0.000 0.000 0.500
Pt1 0.333 0.667 0.500
Ba1 0.667 0.333 0.000

5.
First-principles (SCAN) data for CdWNF2 at its PBEsol-relaxed geometry, as listed in Alexandria.

Final energy (eV per atom): -22.681

abc: 4.021 4.021 4.697
angles: 90.00 90.00 90.00
Positions (direct):
F1 0.500 0.000 0.000
W1 0.500 0.500 0.500
F2 0.000 0.500 0.000
N1 0.000 0.000 0.500
Cd1 0.000 0.000 0.000

6.
First-principles (SCAN) data for BaBeSe at its PBEsol-relaxed geometry, as listed in Alexandria.

Final energy (eV per atom): -21.954

abc: 3.893 3.893 5.105
angles: 90.00 90.00 120.00
Positions (direct):
Se1 0.667 0.333 0.496
Ba1 0.000 0.000 0.998
Be1 0.333 0.667 0.506

7.
First-principles (SCAN) data for TaCdSn3 at its PBEsol-relaxed geometry, as listed in Alexandria.

Energy relative to the elements (eV per formula unit): 7.608
Final energy (eV per atom): -39.431

abc: 5.253 5.253 5.253
angles: 90.00 90.00 90.00
Positions (direct):
Sn1 0.000 0.000 0.500
Ta1 0.500 0.500 0.500
Cd1 0.000 0.000 0.000
Sn2 0.500 0.000 0.000
Sn3 0.000 0.500 0.000

8.
First-principles (SCAN) data for MgMoBr2 at its PBEsol-relaxed geometry, as listed in Alexandria.

Final energy (eV per atom): -19.781

abc: 3.172 4.798 7.102
angles: 109.79 102.90 90.00
Positions (direct):
Br1 0.154 0.155 0.309
Mg1 0.000 0.500 0.000
Mo1 0.500 0.000 0.000
Br2 0.846 0.845 0.691

9.
First-principles (SCAN) data for CrReNiP2 at its PBEsol-relaxed geometry, as listed in Alexandria.

Energy relative to the elements (eV per formula unit): 5.485
Final energy (eV per atom): -24.194

abc: 4.137 4.137 4.340
angles: 90.00 90.00 90.00
Positions (direct):
Ni1 0.000 0.000 0.000
P1 0.000 0.500 0.000
Cr1 0.000 0.000 0.500
P2 0.500 0.000 0.000
Re1 0.500 0.500 0.500

10.
First-principles (SCAN) data for Li3FeSb4O12 at its PBEsol-relaxed geometry, as listed in Alexandria.

Final energy (eV per atom): -14.132

abc: 5.209 5.542 7.610
angles: 85.36 89.97 89.80
Positions (direct):
Sb1 0.496 0.488 0.992
O1 0.827 0.659 0.056
Sb2 0.004 0.997 0.502
O2 0.861 0.963 0.747
Li1 0.001 0.568 0.782
O3 0.353 0.462 0.244
O4 0.703 0.783 0.411
O5 0.343 0.151 0.548
O6 0.640 0.467 0.746
O7 0.671 0.160 0.052
O8 0.193 0.296 0.910
Fe1 0.998 0.580 0.284
Sb3 0.501 0.486 0.502
Li2 0.500 0.049 0.277
Li3 0.499 0.056 0.785
O9 0.814 0.303 0.407
O10 0.132 0.952 0.241
O11 0.165 0.651 0.542
O12 0.300 0.791 0.912
Sb4 0.000 0.998 0.991